Compound: Pm5Sm12Er
Source: the Alexandria database
Functional: GGA-PBE
Structure: optimized geometry

Values from the calculation:
Crystal system: monoclinic
Formation enthalpy at 0 K: 0.08 eV/atom

Unit cell a=10.5588 b=10.5588 c=5.8299 alpha=90.01 beta=90.01 gamma=110.86
Positions (direct):
Pm: 0.0000 0.0000 0.0000
Pm: 0.1368 0.8632 0.5000
Pm: 0.3653 0.6347 0.0000
Pm: 0.6347 0.3653 0.0000
Pm: 0.8632 0.1368 0.5000
Sm: 0.0283 0.6680 0.0034
Sm: 0.1679 0.5268 0.4967
Sm: 0.2030 0.2030 0.5226
Sm: 0.3006 0.3006 0.0220
Sm: 0.3320 0.9717 0.9966
Sm: 0.4732 0.8321 0.5033
Sm: 0.5268 0.1679 0.4967
Sm: 0.6680 0.0283 0.0034
Sm: 0.6994 0.6994 0.9780
Sm: 0.7970 0.7970 0.4774
Sm: 0.8321 0.4732 0.5033
Sm: 0.9717 0.3320 0.9966
Er: 0.5000 0.5000 0.5000



Compound: Pm8Sm3Er4
Source: the Alexandria database
Functional: GGA-PBE
Structure: optimized geometry

Values from the calculation:
Crystal system: monoclinic
Formation enthalpy at 0 K: 0.34 eV/atom

Unit cell a=9.1988 b=9.1988 c=6.8681 alpha=110.59 beta=110.59 gamma=83.16
Positions (direct):
Pm: 0.2037 0.2037 0.1726
Pm: 0.2048 0.7952 0.0000
Pm: 0.2531 0.7469 0.5000
Pm: 0.2556 0.2556 0.7057
Pm: 0.7444 0.7444 0.2943
Pm: 0.7469 0.2531 0.5000
Pm: 0.7952 0.2048 0.0000
Pm: 0.7963 0.7963 0.8274
Sm: 0.0000 0.0000 0.5000
Sm: 0.0000 0.5000 0.0000
Sm: 0.5000 0.0000 0.0000
Er: 0.0000 0.5000 0.5000
Er: 0.5000 0.0000 0.5000
Er: 0.5000 0.5000 0.0000
Er: 0.5000 0.5000 0.5000



Compound: PmSm5Er
Source: the Alexandria database
Functional: GGA-PBE
Structure: optimized geometry

Values from the calculation:
Crystal system: orthorhombic
Formation enthalpy at 0 K: 0.88 eV/atom

Unit cell a=8.0111 b=11.7525 c=6.2343 alpha=90.00 beta=90.00 gamma=90.00
Positions (direct):
Pm: 0.0000 0.0000 0.0000
Pm: 0.5000 0.5000 0.5000
Sm: 0.0000 0.2523 0.0073
Sm: 0.0000 0.5000 0.7382
Sm: 0.0000 0.7477 0.0073
Sm: 0.1796 0.0000 0.5022
Sm: 0.3204 0.5000 0.0022
Sm: 0.5000 0.0000 0.2382
Sm: 0.5000 0.2477 0.5073
Sm: 0.5000 0.7523 0.5073
Sm: 0.6796 0.5000 0.0022
Sm: 0.8204 0.0000 0.5022
Er: 0.0000 0.5000 0.2653
Er: 0.5000 0.0000 0.7653



Compound: Pm3SmEr6
Source: the Alexandria database
Functional: GGA-PBE
Structure: optimized geometry

Values from the calculation:
Crystal system: triclinic
Formation enthalpy at 0 K: 0.24 eV/atom

Unit cell a=6.0288 b=6.2616 c=8.9979 alpha=92.06 beta=92.92 gamma=96.85
Positions (direct):
Pm: 0.0000 0.0000 0.0000
Pm: 0.3392 0.1826 0.7510
Pm: 0.6608 0.8174 0.2490
Sm: 0.5000 0.5000 0.5000
Er: 0.0839 0.5003 0.2005
Er: 0.2168 0.0004 0.3804
Er: 0.4542 0.7255 0.8953
Er: 0.5458 0.2745 0.1047
Er: 0.7832 0.9996 0.6196
Er: 0.9161 0.4997 0.7995



Compound: Pm3Sm3Er
Source: the Alexandria database
Functional: GGA-PBE
Structure: optimized geometry

Values from the calculation:
Crystal system: trigonal
Formation enthalpy at 0 K: 0.22 eV/atom

Unit cell a=8.9210 b=8.9210 c=8.9210 alpha=58.71 beta=58.71 gamma=58.71
Positions (direct):
Pm: 0.0624 0.2934 0.8195
Pm: 0.1805 0.9376 0.7066
Pm: 0.2934 0.8195 0.0624
Pm: 0.7066 0.1805 0.9376
Pm: 0.8195 0.0624 0.2934
Pm: 0.9376 0.7066 0.1805
Sm: 0.0683 0.7205 0.5674
Sm: 0.2795 0.4326 0.9317
Sm: 0.4326 0.9317 0.2795
Sm: 0.5674 0.0683 0.7205
Sm: 0.7205 0.5674 0.0683
Sm: 0.9317 0.2795 0.4326
Er: 0.3457 0.3457 0.3457
Er: 0.6543 0.6543 0.6543



Compound: Pm2Sm8Er3
Source: the Alexandria database
Functional: GGA-PBE
Structure: optimized geometry

Values from the calculation:
Crystal system: monoclinic
Formation enthalpy at 0 K: 0.21 eV/atom

Unit cell a=8.7939 b=8.7939 c=6.8907 alpha=105.51 beta=105.51 gamma=63.39
Positions (direct):
Pm: 0.2125 0.2125 0.4150
Pm: 0.7875 0.7875 0.5850
Sm: 0.1880 0.1880 0.8827
Sm: 0.1983 0.5636 0.8215
Sm: 0.4153 0.4153 0.2787
Sm: 0.4364 0.8017 0.1785
Sm: 0.5636 0.1983 0.8215
Sm: 0.5847 0.5847 0.7213
Sm: 0.8017 0.4364 0.1785
Sm: 0.8120 0.8120 0.1173
Er: 0.0000 0.0000 0.0000
Er: 0.1705 0.8295 0.5000
Er: 0.8295 0.1705 0.5000



Compound: Pm4Sm10Er
Source: the Alexandria database
Functional: GGA-PBE
Structure: optimized geometry

Values from the calculation:
Crystal system: tetragonal
Formation enthalpy at 0 K: 0.40 eV/atom

Unit cell a=9.0533 b=9.0533 c=9.0533 alpha=113.94 beta=113.94 gamma=100.86
Positions (direct):
Pm: 0.0659 0.6822 0.7481
Pm: 0.3178 0.0659 0.3837
Pm: 0.6822 0.9341 0.6163
Pm: 0.9341 0.3178 0.2519
Sm: 0.1098 0.2194 0.6531
Sm: 0.2194 0.5663 0.1096
Sm: 0.2500 0.7500 0.5000
Sm: 0.4337 0.5433 0.6531
Sm: 0.4567 0.1098 0.8904
Sm: 0.5433 0.8902 0.1096
Sm: 0.5663 0.4567 0.3469
Sm: 0.7500 0.2500 0.5000
Sm: 0.7806 0.4337 0.8904
Sm: 0.8902 0.7806 0.3469
Er: 0.5000 0.5000 0.0000



Compound: PmSmEr2
Source: the Alexandria database
Functional: GGA-PBE
Structure: optimized geometry

Values from the calculation:
Crystal system: tetragonal
Formation enthalpy at 0 K: 0.02 eV/atom

Unit cell a=3.5763 b=3.5763 c=10.0785 alpha=90.00 beta=90.00 gamma=90.00
Positions (direct):
Pm: 0.0000 0.0000 0.0000
Sm: 0.0000 0.0000 0.5000
Er: 0.5000 0.5000 0.2507
Er: 0.5000 0.5000 0.7493



Compound: Pm3Sm3Er8
Source: the Alexandria database
Functional: GGA-PBE
Structure: optimized geometry

Values from the calculation:
Crystal system: orthorhombic
Formation enthalpy at 0 K: 0.11 eV/atom

Unit cell a=9.6834 b=9.6834 c=9.6834 alpha=146.11 beta=112.69 gamma=77.54
Positions (direct):
Pm: 0.0000 0.0000 0.0000
Pm: 0.1861 0.6861 0.5000
Pm: 0.8139 0.3139 0.5000
Sm: 0.1998 0.5000 0.6998
Sm: 0.5000 0.5000 0.0000
Sm: 0.8002 0.5000 0.3002
Er: 0.1184 0.2795 0.8389
Er: 0.2383 0.8972 0.3410
Er: 0.4406 0.2795 0.1611
Er: 0.4438 0.1028 0.3410
Er: 0.5562 0.8972 0.6590
Er: 0.5594 0.7205 0.8389
Er: 0.7617 0.1028 0.6590
Er: 0.8816 0.7205 0.1611



Compound: Pm2Sm12Er5
Source: the Alexandria database
Functional: GGA-PBE
Structure: optimized geometry

Values from the calculation:
Crystal system: monoclinic
Formation enthalpy at 0 K: 0.13 eV/atom

Unit cell a=9.1899 b=9.1899 c=8.6659 alpha=90.96 beta=90.96 gamma=60.74
Positions (direct):
Pm: 0.1760 0.8240 0.0000
Pm: 0.8240 0.1760 0.0000
Sm: 0.0624 0.0624 0.3374
Sm: 0.0673 0.6801 0.3364
Sm: 0.1645 0.5264 0.7614
Sm: 0.3199 0.9327 0.6636
Sm: 0.4102 0.4102 0.1174
Sm: 0.4736 0.8355 0.2386
Sm: 0.5264 0.1645 0.7614
Sm: 0.5898 0.5898 0.8826
Sm: 0.6801 0.0673 0.3364
Sm: 0.8355 0.4736 0.2386
Sm: 0.9327 0.3199 0.6636
Sm: 0.9376 0.9376 0.6626
Er: 0.1990 0.1990 0.0179
Er: 0.2696 0.2696 0.4293
Er: 0.5000 0.5000 0.5000
Er: 0.7304 0.7304 0.5707
Er: 0.8010 0.8010 0.9821



Compound: Pm3Sm3Er5
Source: the Alexandria database
Functional: GGA-PBE
Structure: optimized geometry

Values from the calculation:
Crystal system: hexagonal
Formation enthalpy at 0 K: 0.76 eV/atom

Unit cell a=9.6626 b=9.6626 c=5.4870 alpha=90.00 beta=90.00 gamma=120.00
Positions (direct):
Pm: 0.0000 0.4306 0.0000
Pm: 0.4306 0.0000 0.0000
Pm: 0.5694 0.5694 0.0000
Sm: 0.0000 0.2703 0.5000
Sm: 0.2703 0.0000 0.5000
Sm: 0.7297 0.7297 0.5000
Er: 0.0000 0.6335 0.5000
Er: 0.3333 0.6667 0.5000
Er: 0.3665 0.3665 0.5000
Er: 0.6335 0.0000 0.5000
Er: 0.6667 0.3333 0.5000



Compound: Pm4Sm8Er3
Source: the Alexandria database
Functional: GGA-PBE
Structure: optimized geometry

Values from the calculation:
Crystal system: trigonal
Formation enthalpy at 0 K: 0.12 eV/atom

Unit cell a=12.6174 b=12.6174 c=12.6174 alpha=32.28 beta=32.28 gamma=32.28
Positions (direct):
Pm: 0.0000 0.0000 0.0000
Pm: 0.1637 0.1637 0.1637
Pm: 0.5000 0.5000 0.5000
Pm: 0.8363 0.8363 0.8363
Sm: 0.2495 0.2495 0.7469
Sm: 0.2495 0.7469 0.2495
Sm: 0.2531 0.7505 0.7505
Sm: 0.2549 0.2549 0.2549
Sm: 0.7451 0.7451 0.7451
Sm: 0.7469 0.2495 0.2495
Sm: 0.7505 0.2531 0.7505
Sm: 0.7505 0.7505 0.2531
Er: 0.0000 0.5000 0.5000
Er: 0.5000 0.0000 0.5000
Er: 0.5000 0.5000 0.0000



Compound: PmSm8Er3
Source: the Alexandria database
Functional: GGA-PBE
Structure: optimized geometry

Values from the calculation:
Crystal system: monoclinic
Formation enthalpy at 0 K: 0.06 eV/atom

Unit cell a=6.6766 b=6.6766 c=10.4450 alpha=100.17 beta=100.17 gamma=116.27
Positions (direct):
Pm: 0.0000 0.0000 0.0000
Sm: 0.0742 0.5918 0.1675
Sm: 0.0813 0.0813 0.6596
Sm: 0.4082 0.9258 0.8325
Sm: 0.4158 0.4158 0.3290
Sm: 0.5842 0.5842 0.6710
Sm: 0.5918 0.0742 0.1675
Sm: 0.9187 0.9187 0.3404
Sm: 0.9258 0.4082 0.8325
Er: 0.0000 0.5000 0.5000
Er: 0.5000 0.0000 0.5000
Er: 0.5000 0.5000 0.0000



Compound: Pm3Sm7Er2
Source: the Alexandria database
Functional: GGA-PBE
Structure: optimized geometry

Values from the calculation:
Crystal system: monoclinic
Formation enthalpy at 0 K: 0.09 eV/atom

Unit cell a=5.9059 b=3.6024 c=19.0416 alpha=90.00 beta=93.10 gamma=90.00
Positions (direct):
Pm: 0.0000 0.0000 0.0000
Pm: 0.2832 0.5000 0.6336
Pm: 0.7168 0.5000 0.3664
Sm: 0.1849 0.5000 0.1451
Sm: 0.2427 0.0000 0.4642
Sm: 0.3134 0.0000 0.8194
Sm: 0.5000 0.5000 0.0000
Sm: 0.6866 0.0000 0.1806
Sm: 0.7573 0.0000 0.5358
Sm: 0.8151 0.5000 0.8549
Er: 0.2076 0.0000 0.2951
Er: 0.7924 0.0000 0.7049



Compound: Pm5SmEr5
Source: the Alexandria database
Functional: GGA-PBE
Structure: optimized geometry

Values from the calculation:
Crystal system: hexagonal
Formation enthalpy at 0 K: 0.29 eV/atom

Unit cell a=6.0856 b=6.0856 c=11.7833 alpha=90.00 beta=90.00 gamma=120.00
Positions (direct):
Pm: 0.0000 0.0000 0.0000
Pm: 0.3333 0.6667 0.3181
Pm: 0.3333 0.6667 0.6819
Pm: 0.6667 0.3333 0.1541
Pm: 0.6667 0.3333 0.8459
Sm: 0.3333 0.6667 0.0000
Er: 0.0000 0.0000 0.2661
Er: 0.0000 0.0000 0.7339
Er: 0.3331 0.1665 0.5000
Er: 0.8335 0.1665 0.5000
Er: 0.8335 0.6669 0.5000



Compound: Pm3SmEr12
Source: the Alexandria database
Functional: GGA-PBE
Structure: optimized geometry

Values from the calculation:
Crystal system: tetragonal
Formation enthalpy at 0 K: 0.02 eV/atom

Unit cell a=5.0033 b=5.0033 c=20.0525 alpha=90.00 beta=90.00 gamma=90.00
Positions (direct):
Pm: 0.0000 0.0000 0.0000
Pm: 0.0000 0.0000 0.2503
Pm: 0.0000 0.0000 0.7497
Sm: 0.0000 0.0000 0.5000
Er: 0.0000 0.5000 0.1252
Er: 0.0000 0.5000 0.3754
Er: 0.0000 0.5000 0.6246
Er: 0.0000 0.5000 0.8748
Er: 0.5000 0.0000 0.1252
Er: 0.5000 0.0000 0.3754
Er: 0.5000 0.0000 0.6246
Er: 0.5000 0.0000 0.8748
Er: 0.5000 0.5000 0.0000
Er: 0.5000 0.5000 0.2504
Er: 0.5000 0.5000 0.5000
Er: 0.5000 0.5000 0.7496



Compound: Pm4Sm5Er2
Source: the Alexandria database
Functional: GGA-PBE
Structure: optimized geometry

Values from the calculation:
Crystal system: orthorhombic
Formation enthalpy at 0 K: 0.24 eV/atom

Unit cell a=12.6491 b=12.6491 c=12.6491 alpha=164.01 beta=136.66 gamma=46.48
Positions (direct):
Pm: 0.0964 0.0964 0.0000
Pm: 0.2008 0.5000 0.7008
Pm: 0.7992 0.5000 0.2992
Pm: 0.9036 0.9036 0.0000
Sm: 0.1461 0.3499 0.7962
Sm: 0.4463 0.6501 0.7962
Sm: 0.5000 0.0000 0.5000
Sm: 0.5537 0.3499 0.2038
Sm: 0.8539 0.6501 0.2038
Er: 0.2301 0.2301 0.0000
Er: 0.7699 0.7699 0.0000



Compound: PmSm3Er4
Source: the Alexandria database
Functional: GGA-PBE
Structure: optimized geometry

Values from the calculation:
Crystal system: orthorhombic
Formation enthalpy at 0 K: 0.02 eV/atom

Unit cell a=10.0841 b=7.1470 c=7.1448 alpha=90.00 beta=90.00 gamma=90.00
Positions (direct):
Pm: 0.0000 0.0000 0.0000
Pm: 0.5000 0.0000 0.5000
Sm: 0.0000 0.5000 0.5000
Sm: 0.2500 0.2502 0.2500
Sm: 0.2500 0.7498 0.7500
Sm: 0.5000 0.5000 0.0000
Sm: 0.7500 0.2502 0.2500
Sm: 0.7500 0.7498 0.7500
Er: 0.0000 0.0000 0.5000
Er: 0.0000 0.5000 0.0000
Er: 0.2500 0.2503 0.7500
Er: 0.2500 0.7497 0.2500
Er: 0.5000 0.0000 0.0000
Er: 0.5000 0.5000 0.5000
Er: 0.7500 0.2503 0.7500
Er: 0.7500 0.7497 0.2500



Compound: Pm2Sm12Er5
Source: the Alexandria database
Functional: GGA-PBE
Structure: optimized geometry

Values from the calculation:
Crystal system: monoclinic
Formation enthalpy at 0 K: 0.13 eV/atom

Unit cell a=9.4274 b=9.4274 c=7.9338 alpha=90.68 beta=90.68 gamma=64.97
Positions (direct):
Pm: 0.2289 0.7711 0.0000
Pm: 0.7711 0.2289 0.0000
Sm: 0.0401 0.5739 0.2054
Sm: 0.1576 0.1576 0.1224
Sm: 0.1681 0.6205 0.6102
Sm: 0.3795 0.8319 0.3898
Sm: 0.4261 0.9599 0.7946
Sm: 0.4483 0.4483 0.2894
Sm: 0.5517 0.5517 0.7106
Sm: 0.5739 0.0401 0.2054
Sm: 0.6205 0.1681 0.6102
Sm: 0.8319 0.3795 0.3898
Sm: 0.8424 0.8424 0.8776
Sm: 0.9599 0.4261 0.7946
Er: 0.0000 0.0000 0.5000
Er: 0.2462 0.2462 0.4916
Er: 0.3519 0.3519 0.9153
Er: 0.6481 0.6481 0.0847
Er: 0.7538 0.7538 0.5084